Tb4Nd5Th: relaxed, PBE.

Computed properties:
total magnetic moment	0.00	μB per atom
ΔH_f (0 K)	0.151	eV per atom

Lattice parameters (Å, degrees): 3.594 10.641 9.356 83.59 101.08 90.00
Sites, in units of the cell vectors:
Nd 0.138 0.776 0.276
Nd 0.810 0.597 0.619
Nd 0.862 0.224 0.724
Nd 0.190 0.403 0.381
Nd 0.500 0.500 0.000
Tb 0.952 0.761 0.904
Tb 0.680 0.082 0.361
Tb 0.320 0.918 0.639
Tb 0.048 0.239 0.096
Th 0.500 0.000 0.000